(1)
TaTi2Tl (GGA-PBE, optimized geometry); E = -0.27087 hartree per atom; theoretical density = 10932 kg/m3; ΔE to the lowest computed polymorph = 51 kJ/mol of formula units; magnetization = 0.00 μB/f.u.
1.0
6.636 0.000 0.000
0.000 6.636 0.000
0.000 0.000 6.636
Ta Ti Tl
4 8 4
direct
0.000 0.000 0.000 Ta
0.000 0.500 0.500 Ta
0.500 0.000 0.500 Ta
0.500 0.500 0.000 Ta
0.250 0.250 0.250 Ti
0.250 0.250 0.750 Ti
0.250 0.750 0.250 Ti
0.250 0.750 0.750 Ti
0.750 0.250 0.250 Ti
0.750 0.250 0.750 Ti
0.750 0.750 0.250 Ti
0.750 0.750 0.750 Ti
0.000 0.000 0.500 Tl
0.000 0.500 0.000 Tl
0.500 0.000 0.000 Tl
0.500 0.500 0.500 Tl


(2)
MnTlSi2 (GGA-PBE, optimized geometry); E = -0.19441 hartree per atom; theoretical density = 7563 kg/m3; E_form (uncorrected) = 1.22 eV/f.u.; ΔE to the lowest computed polymorph = 67 kJ/mol of formula units; magnetization = 0.00 μB/f.u.
1.0
3.100 0.000 0.000
-1.550 2.685 0.000
0.000 0.000 24.965
Mn Tl Si
3 3 6
direct
0.000 0.000 0.000 Mn
0.333 0.667 0.667 Mn
0.667 0.333 0.333 Mn
0.000 0.000 0.500 Tl
0.333 0.667 0.167 Tl
0.667 0.333 0.833 Tl
0.000 0.000 0.272 Si
0.000 0.000 0.728 Si
0.333 0.667 0.394 Si
0.333 0.667 0.939 Si
0.667 0.333 0.061 Si
0.667 0.333 0.606 Si


(3)
BTeSe2N (GGA-PBE, optimized geometry); E = -0.17458 hartree per atom; theoretical density = 4371 kg/m3; E_form (uncorrected) = 1.36 eV/f.u.; ΔE to the lowest computed polymorph = 0 kJ/mol of formula units; magnetization = 0.43 μB/f.u.
1.0
6.674 0.000 0.000
0.000 6.674 0.000
0.000 0.000 2.647
B Te Se N
1 1 2 1
direct
0.000 0.000 0.000 B
0.500 0.500 0.500 Te
0.000 0.500 0.000 Se
0.500 0.000 0.000 Se
0.000 0.000 0.500 N